No. 1
Below is Cs3Hg9Bi2 after structural relaxation, with properties calculated at the PBE-GGA level.

Calculated values
E_form   -0.19 eV per atom
VASP energy   -0.0412 Ha/atom
SG   No. 71

```
data_Cs3Hg9Bi2
_chemical_formula_sum 'Cs3 Hg9 Bi2'
_cell_length_a 5.388
_cell_length_b 10.183
_cell_length_c 10.183
_cell_angle_alpha 74.39
_cell_angle_beta 74.66
_cell_angle_gamma 74.66
_space_group_name_H-M_alt 'P 1'
_space_group_IT_number 1
loop_
_space_group_symop_operation_xyz
'x,y,z'
loop_
_atom_site_label
_atom_site_type_symbol
_atom_site_fract_x
_atom_site_fract_y
_atom_site_fract_z
Cs1 Cs 0.322 0.678 0.678
Hg1 Hg 0.317 0.318 0.049
Bi1 Bi 0.500 0.747 0.253
Hg2 Hg 0.000 0.500 0.500
Hg3 Hg 0.317 0.049 0.318
Hg4 Hg 0.876 0.404 0.844
Cs2 Cs 0.000 0.000 0.000
Cs3 Cs 0.678 0.322 0.322
Bi2 Bi 0.500 0.253 0.747
Hg5 Hg 0.124 0.596 0.156
Hg6 Hg 0.124 0.156 0.596
Hg7 Hg 0.876 0.844 0.404
Hg8 Hg 0.683 0.682 0.951
Hg9 Hg 0.683 0.951 0.682
```

No. 2
Below is CsHgBi2 after structural relaxation, with properties calculated at the PBE-GGA level.

Calculated values
E_form   -0.13 eV per atom
VASP energy   -0.0866 Ha/atom
SG   No. 166

```
data_CsHgBi2
_chemical_formula_sum 'Cs1 Hg1 Bi2'
_cell_length_a 5.576
_cell_length_b 5.576
_cell_length_c 7.656
_cell_angle_alpha 68.65
_cell_angle_beta 68.65
_cell_angle_gamma 60.00
_space_group_name_H-M_alt 'P 1'
_space_group_IT_number 1
loop_
_space_group_symop_operation_xyz
'x,y,z'
loop_
_atom_site_label
_atom_site_type_symbol
_atom_site_fract_x
_atom_site_fract_y
_atom_site_fract_z
Cs1 Cs 0.000 0.000 0.000
Bi1 Bi 0.811 0.811 0.566
Bi2 Bi 0.189 0.189 0.434
Hg1 Hg 0.500 0.500 0.500
```

No. 3
Below is CsHg3Bi2 after structural relaxation, with properties calculated at the PBE-GGA level.

Calculated values
E_form   -0.07 eV per atom
VASP energy   -0.0609 Ha/atom
Relative energy among the computed polymorphs   34.5 meV/atom
SG   No. 194

```
data_CsHg3Bi2
_chemical_formula_sum 'Cs2 Hg6 Bi4'
_cell_length_a 5.287
_cell_length_b 5.287
_cell_length_c 17.695
_cell_angle_alpha 90.00
_cell_angle_beta 90.00
_cell_angle_gamma 120.00
_space_group_name_H-M_alt 'P 1'
_space_group_IT_number 1
loop_
_space_group_symop_operation_xyz
'x,y,z'
loop_
_atom_site_label
_atom_site_type_symbol
_atom_site_fract_x
_atom_site_fract_y
_atom_site_fract_z
Bi1 Bi 0.667 0.333 0.078
Hg1 Hg 0.667 0.333 0.888
Cs1 Cs 0.000 0.000 0.750
Bi2 Bi 0.333 0.667 0.922
Hg2 Hg 0.667 0.333 0.612
Cs2 Cs 0.000 0.000 0.250
Bi3 Bi 0.333 0.667 0.578
Hg3 Hg 0.000 0.000 0.500
Bi4 Bi 0.667 0.333 0.422
Hg4 Hg 0.000 0.000 0.000
Hg5 Hg 0.333 0.667 0.112
Hg6 Hg 0.333 0.667 0.388
```

No. 4
Below is Cs2Hg2Bi after structural relaxation, with properties calculated at the PBE-GGA level.

Calculated values
E_form   -0.32 eV per atom
VASP energy   -0.0574 Ha/atom
Relative energy among the computed polymorphs   14.0 meV/atom
SG   No. 15

```
data_Cs2Hg2Bi
_chemical_formula_sum 'Cs4 Hg4 Bi2'
_cell_length_a 7.192
_cell_length_b 7.157
_cell_length_c 9.945
_cell_angle_alpha 101.66
_cell_angle_beta 90.00
_cell_angle_gamma 120.16
_space_group_name_H-M_alt 'P 1'
_space_group_IT_number 1
loop_
_space_group_symop_operation_xyz
'x,y,z'
loop_
_atom_site_label
_atom_site_type_symbol
_atom_site_fract_x
_atom_site_fract_y
_atom_site_fract_z
Hg1 Hg 0.258 0.262 0.505
Hg2 Hg 0.996 0.738 0.995
Hg3 Hg 0.004 0.262 0.005
Bi1 Bi 0.137 0.000 0.750
Cs1 Cs 0.223 0.700 0.346
Cs2 Cs 0.523 0.300 0.154
Bi2 Bi 0.863 0.000 0.250
Cs3 Cs 0.777 0.300 0.654
Cs4 Cs 0.477 0.700 0.846
Hg4 Hg 0.742 0.738 0.495
```